DFT (PBE) results for a geometry-optimized Sm2Cu12Ni5 structure.

Cell lengths 6.417, 6.417, 6.417 Å; angles 83.01, 83.01, 83.01 degrees
Fractional coordinates of all 19 atoms:
Sm (0.169, 0.169, 0.169)
Sm (0.831, 0.831, 0.831)
Cu (0.155, 0.155, 0.651)
Cu (0.155, 0.651, 0.155)
Cu (0.209, 0.500, 0.791)
Cu (0.209, 0.791, 0.500)
Cu (0.349, 0.845, 0.845)
Cu (0.500, 0.209, 0.791)
Cu (0.500, 0.791, 0.209)
Cu (0.651, 0.155, 0.155)
Cu (0.791, 0.209, 0.500)
Cu (0.791, 0.500, 0.209)
Cu (0.845, 0.349, 0.845)
Cu (0.845, 0.845, 0.349)
Ni (0.000, 0.500, 0.500)
Ni (0.401, 0.401, 0.401)
Ni (0.500, 0.000, 0.500)
Ni (0.500, 0.500, 0.000)
Ni (0.599, 0.599, 0.599)

Output
Symmetry: R-3m (166)

---

DFT (PBE) results for a geometry-optimized Sm2Cu2Ni3 structure.

Cell lengths 8.294, 4.533, 7.435 Å; angles 90.00, 122.20, 90.00 degrees
Fractional coordinates of all 14 atoms:
Sm (0.241, 0.000, 0.310)
Sm (0.259, 0.500, 0.690)
Sm (0.741, 0.500, 0.310)
Sm (0.759, 0.000, 0.690)
Cu (0.185, 0.000, 0.885)
Cu (0.315, 0.500, 0.115)
Cu (0.685, 0.500, 0.885)
Cu (0.815, 0.000, 0.115)
Ni (0.000, 0.000, 0.500)
Ni (0.014, 0.500, 0.176)
Ni (0.486, 0.000, 0.824)
Ni (0.500, 0.500, 0.500)
Ni (0.514, 0.000, 0.176)
Ni (0.986, 0.500, 0.824)

Output
Symmetry: C2/m (12)

---

DFT (PBE) results for a geometry-optimized SmCuNi3 structure.

Cell lengths 6.212, 6.212, 6.212 Å; angles 134.38, 114.52, 83.43 degrees
Fractional coordinates of all 10 atoms:
Sm (0.000, 0.000, 0.000)
Sm (0.500, 0.000, 0.500)
Cu (0.276, 0.526, 0.750)
Cu (0.724, 0.474, 0.250)
Ni (0.133, 0.698, 0.436)
Ni (0.238, 0.302, 0.936)
Ni (0.500, 0.000, 0.000)
Ni (0.500, 0.500, 0.500)
Ni (0.762, 0.698, 0.064)
Ni (0.867, 0.302, 0.564)

Output
Symmetry: Imma (74)

---

| no. | final energy (eV/atom) | formation enthalpy at 0 K (eV per atom) |
| --- | --- | --- |
| 1 | -4.750 | -0.14 |
| 2 | -5.156 | -0.16 |
| 3 | -5.363 | -0.13 |